Computed, not measured: NaCu2Pt after structural relaxation at the GGA-PBE level of DFT.

## Properties
The density of states at the Fermi level is 0.207 states/eV/atom. For the total energy, the calculation gives -3.8870 eV per atom. Its relative energy among the computed polymorphs is 0 meV per atom. The value obtained for the formation energy is 1 meV per atom.

a = 2.933 Å, b = 4.469 Å, c = 4.469 Å
α = 90.00°, β = 90.00°, γ = 90.00°
Sites, in units of the cell vectors:
Pt: 0.500 0.000 0.000
Cu: 0.000 0.500 0.000
Cu: 0.000 0.000 0.500
Na: 0.500 0.500 0.500